(1)
Compound: RePbBr2
Source: Alexandria via LeMat-Bulk
Functional: PBE
Structure: relaxed

SG	F-43m
calculated density	9.4	g cm⁻³

a = 5.165 Å, b = 5.165 Å, c = 5.165 Å
α = 60.00°, β = 60.00°, γ = 60.00°
Fractional coordinates of all 4 atoms:
1 Re 0.750 0.750 0.750
2 Br 0.250 0.250 0.250
3 Pb 0.500 0.500 0.500
4 Br 0.000 0.000 0.000

---

(2)
Compound: RePbBr2
Source: Alexandria via LeMat-Bulk
Functional: PBE
Structure: relaxed

SG	I-42d
calculated density	8.5	g cm⁻³

a = 8.890 Å, b = 8.890 Å, c = 6.857 Å
α = 49.59°, β = 49.59°, γ = 90.00°
Fractional coordinates of all 8 atoms:
1 Pb 0.750 0.250 0.500
2 Re 0.500 0.500 0.000
3 Br 0.499 0.125 0.250
4 Br 0.875 0.749 0.750
5 Br 0.251 0.625 0.250
6 Pb 0.000 0.000 0.000
7 Re 0.250 0.750 0.500
8 Br 0.375 0.501 0.750

---

(3)
Compound: RePbBr2
Source: Alexandria via LeMat-Bulk
Functional: PBE
Structure: relaxed

SG	Imm2
calculated density	8.4	g cm⁻³

a = 7.716 Å, b = 7.716 Å, c = 7.716 Å
α = 156.41°, β = 143.58°, γ = 43.85°
Fractional coordinates of all 4 atoms:
1 Re 0.235 0.735 0.500
2 Br 0.759 0.259 0.500
3 Pb 0.410 0.410 0.000
4 Br 0.097 0.097 0.000

---

(4)
Compound: Re3PbBr
Source: Alexandria via LeMat-Bulk
Functional: PBE
Structure: relaxed

SG	Pm-3m
calculated density	8.6	g cm⁻³

a = 5.470 Å, b = 5.470 Å, c = 5.470 Å
α = 90.00°, β = 90.00°, γ = 90.00°
Fractional coordinates of all 5 atoms:
1 Re 0.000 0.500 0.000
2 Pb 0.000 0.000 0.000
3 Re 0.500 0.000 0.000
4 Br 0.500 0.500 0.500
5 Re 0.000 0.000 0.500

---

| no. | magnetization (μB per atom) | energy (eV/atom) | formation energy without anion corrections (meV/atom) |
| --- | --- | --- | --- |
| 1 | 0.8147 | -3.731 | 1144 |
| 2 | 0.0001 | -4.362 | 513 |
| 3 | 0.0000 | -4.283 | 592 |
| 4 | 2.5890 | -5.167 | 3378 |